Entry from Alexandria via LeMat-Bulk: a relaxed MnSi2Hg crystal (GGA-PBEsol).

It has space group F-43m (No. 216), with a = 6.414 Å, b = 6.414 Å, c = 6.414 Å, α = 90.00°, β = 90.00° and γ = 90.00°. The distinct sites, in fractional coordinates, are Mn at (0.000, 0.000, 0.000), Si at (0.000, 0.000, 0.500), Si at (0.250, 0.250, 0.750) and Hg at (0.250, 0.250, 0.250).

The value obtained for the density of states at the Fermi level is 0.531 states/eV per atom.

---

Entry from Alexandria via LeMat-Bulk: a relaxed Mn2SiHg crystal (GGA-PBEsol).

It has space group Pm (No. 6), with a = 2.769 Å, b = 4.085 Å, c = 5.085 Å, α = 90.00°, β = 93.61° and γ = 90.00°. The distinct sites, in fractional coordinates, are Mn at (0.000, 0.000, 0.000), Mn at (0.125, 0.500, 0.715), Si at (0.591, 0.500, 0.114) and Hg at (0.581, 0.000, 0.487).

The value obtained for the density of states at the Fermi level is 0.640 states/eV per atom. The energy relative to the lowest polymorph listed for this composition comes out at 203.9 meV per atom.

---

Entry from Alexandria via LeMat-Bulk: a relaxed Mn2SiHg crystal (GGA-PBEsol).

It has space group I-4m2 (No. 119), with a = 3.717 Å, b = 3.717 Å, c = 8.426 Å, α = 90.00°, β = 90.00° and γ = 90.00°. The distinct sites, in fractional coordinates, are Mn at (0.000, 0.000, 0.000), Mn at (0.000, 0.500, 0.250), Si at (0.000, 0.000, 0.500) and Hg at (0.000, 0.500, 0.750).

The value obtained for the density of states at the Fermi level is 0.394 states/eV per atom. The energy relative to the lowest polymorph listed for this composition comes out at 243.1 meV per atom.

---

Entry from Alexandria via LeMat-Bulk: a relaxed ZrMnSi2Hg crystal (GGA-PBEsol).

It has space group P4/mmm (No. 123), with a = 5.033 Å, b = 5.033 Å, c = 4.812 Å, α = 90.00°, β = 90.00° and γ = 90.00°. The distinct sites, in fractional coordinates, are Zr at (0.000, 0.000, 0.000), Mn at (0.000, 0.000, 0.500), Si at (0.000, 0.500, 0.000) and Hg at (0.500, 0.500, 0.500).

The value obtained for the density of states at the Fermi level is 0.841 states/eV per atom.

---

Entry from Alexandria via LeMat-Bulk: a relaxed SrMnHg2 crystal (GGA-PBEsol).

It has space group P4mm (No. 99), with a = 3.729 Å, b = 3.729 Å, c = 7.053 Å, α = 90.00°, β = 90.00° and γ = 90.00°. The distinct sites, in fractional coordinates, are Sr at (0.000, 0.000, 0.000), Mn at (0.500, 0.500, 0.666), Hg at (0.000, 0.000, 0.532) and Hg at (0.500, 0.500, 0.273).

The value obtained for the density of states at the Fermi level is 0.761 states/eV per atom.

---

Entry from Alexandria via LeMat-Bulk: a relaxed SrMn2Hg crystal (GGA-PBEsol).

It has space group Pmmm (No. 47), with a = 3.525 Å, b = 3.555 Å, c = 7.128 Å, α = 90.00°, β = 90.00° and γ = 90.00°. The distinct sites, in fractional coordinates, are Sr at (0.000, 0.000, 0.000), Mn at (0.500, 0.500, 0.318) and Hg at (0.000, 0.000, 0.500).

The value obtained for the density of states at the Fermi level is 1.230 states/eV per atom.

---

Total DFT energy (no corrections) across the listed records, respectively: -4.878; -6.210; -6.171; -5.076; -3.091; -4.881 eV per atom.